La4PmNd2Th PBE-GGA optimized geometry; volume = 283.1 Å³/cell; N(E_F) = 14.67 states/eV/cell; total moment = 0.0 μB/f.u.; ΔE_f = 0.25 eV/f.u.
1.0
3.6748 0.0000 0.0000
0.0000 6.3807 -0.3627
0.0000 2.7567 11.9184
La Pm Nd Th
4 1 2 1
Cartesian
0.0001 6.8302 8.6447
3.6748 2.3072 2.9110
1.8374 5.4283 2.7795
1.8374 3.7092 8.7762
1.8374 3.1904 -0.1814
0.0000 2.7567 11.9184
1.8374 1.3783 5.9592
0.0000 4.5687 5.7779

NaTb4Ho3Se8 PBE-GGA optimized geometry; volume = 386.0 Å³/cell; N(E_F) = 7.37 states/eV/cell; total moment = 0.0 μB/f.u.; E_form (uncorrected) = -1.737 eV/atom
1.0
-0.5702 3.1151 7.5298
1.7152 -7.3397 3.1664
5.0650 3.3806 -5.4459
Na Tb Ho Se
1 4 3 8
Cartesian
0.8576 -3.6698 1.5832
-0.2851 1.5576 3.7649
2.2474 3.2479 1.0419
0.0000 0.0000 0.0000
2.5325 1.6903 -2.7229
0.5725 -2.1123 5.3481
3.1050 -0.4219 2.6251
3.3901 -1.9795 -1.1397
6.1906 -1.3304 -1.1953
3.6607 -3.0201 1.5267
2.8366 0.6188 -0.0412
5.9056 0.2266 2.5680
0.3044 -1.0705 2.6822
3.3734 -1.4627 5.2915
2.5492 2.1763 3.7236
0.0194 0.4865 6.4456

Ce5H2Se5 PBE-GGA optimized geometry; volume = 288.8 Å³/cell; N(E_F) = 31.23 states/eV/cell; total moment = 6.4 μB/f.u.; E = -5.861 eV/atom
1.0
4.0622 0.0000 0.0000
-2.0311 6.7777 -0.2638
0.0000 -3.6444 10.6323
Ce H Se
5 2 5
Cartesian
0.0000 -0.0491 4.1050
2.0311 -0.4935 8.2771
0.0000 3.6268 2.0914
2.0311 3.1824 6.2635
0.0000 0.0000 0.0000
0.0000 -2.0483 8.4190
2.0311 5.1816 1.9495
2.0311 -1.8222 5.3161
2.0311 2.0329 0.3918
2.0311 1.9901 3.6055
0.0000 1.1432 6.7630
0.0000 1.1004 9.9767